# 1
Here is a geometry-optimized AsPt structure from Alexandria via LeMat-Bulk. Energies are from PBE-GGA.

Output
Crystal system ... tetragonal
Formation energy from the elements ... -0.04 eV/atom
Space group ... P4/nmm, No. 129

Lattice parameters (Å, degrees): 4.468 4.468 3.450 90.00 90.00 90.00
Element x y z (fractional)
As 0.250 0.750 0.000
Pt 0.250 0.250 0.408
As 0.750 0.250 0.000
Pt 0.750 0.750 0.592



# 2
Here is a geometry-optimized As3Pt structure from Alexandria via LeMat-Bulk. Energies are from PBE-GGA.

Output
Crystal system ... hexagonal
Energy above the most stable polymorph in this dataset ... 0.317 eV per atom
Formation energy from the elements ... 0.23 eV/atom
Space group ... P-6m2, No. 187

Lattice parameters (Å, degrees): 2.928 2.928 9.981 90.00 90.00 120.00
Element x y z (fractional)
Pt 0.667 0.333 0.750
As 0.000 0.000 0.533
As 0.000 0.000 0.967
As 0.667 0.333 0.250



What is the formation energy from the elements in the second record?
0.23 eV/atom